# Sm11Cd4Hg9

An optimized crystal structure of Sm11Cd4Hg9 (PBE, Alexandria via LeMat-Bulk).

Calculated values
SG	Cmmm (65)
ΔE_f	-37	kJ per mole of atoms
Fermi-level density of states	23.902	states/eV/f.u.

Cell lengths 3.7398, 13.4765, 13.4765 Å; angles 105.85, 90.00, 90.00 degrees
Positions (direct):
1 Sm 0.0000 0.6350 0.3650
2 Sm 0.0000 0.2204 0.2204
3 Sm 0.0000 0.9359 0.5951
4 Sm 0.0000 0.0000 0.0000
5 Sm 0.0000 0.3650 0.6350
6 Sm 0.0000 0.7796 0.7796
7 Sm 0.0000 0.0641 0.4049
8 Sm 0.0000 0.5951 0.9359
9 Sm 0.0000 0.4049 0.0641
10 Sm 0.0000 0.1863 0.8137
11 Sm 0.0000 0.8137 0.1863
12 Cd 0.5000 0.5725 0.7277
13 Cd 0.5000 0.7277 0.5725
14 Cd 0.5000 0.4275 0.2723
15 Cd 0.5000 0.2723 0.4275
16 Hg 0.5000 0.3905 0.8473
17 Hg 0.5000 0.8473 0.3905
18 Hg 0.5000 0.5000 0.5000
19 Hg 0.5000 0.0138 0.2005
20 Hg 0.5000 0.6095 0.1527
21 Hg 0.5000 0.7995 0.9862
22 Hg 0.5000 0.2005 0.0138
23 Hg 0.5000 0.9862 0.7995
24 Hg 0.5000 0.1527 0.6095